Entry 1:
VASP calculation (SCAN) on Si2IO at its PBEsol-relaxed geometry.

abc: 4.835 4.835 13.274
angles: 90.00 90.00 90.00
Space group I-42d (No. 122)
One atom of each set of equivalent atoms:
Si 0.032 0.250 0.125 (multiplicity 8)
I 0.000 0.000 0.500 (multiplicity 4)
O 0.000 0.000 0.000 (multiplicity 4)

Properties
**Calculated total energy**: -15.722 eV per atom
**Formation energy without anion corrections**: 0.029 eV/atom

***

Entry 2:
VASP calculation (SCAN) on BaNaI3 at its PBEsol-relaxed geometry.

abc: 6.627 6.627 6.627
angles: 90.00 90.00 90.00
Space group Pm-3m (No. 221)
One atom of each set of equivalent atoms:
Ba 0.000 0.000 0.000 (multiplicity 1)
Na 0.500 0.500 0.500 (multiplicity 1)
I 0.000 0.000 0.500 (multiplicity 3)

Properties
**Calculated total energy**: -32.230 eV per atom
**Formation energy without anion corrections**: -1.432 eV/atom

***

Entry 3:
VASP calculation (SCAN) on TlCrF3 at its PBEsol-relaxed geometry.

abc: 4.161 4.161 4.161
angles: 90.00 90.00 90.00
Space group Pm-3m (No. 221)
One atom of each set of equivalent atoms:
Tl 0.000 0.000 0.000 (multiplicity 1)
Cr 0.500 0.500 0.500 (multiplicity 1)
F 0.000 0.500 0.500 (multiplicity 3)

Properties
**Calculated total energy**: -22.641 eV per atom
**Formation energy without anion corrections**: -2.369 eV/atom

***

Please write out number 3 again, unchanged.
VASP calculation (SCAN) on TlCrF3 at its PBEsol-relaxed geometry.

abc: 4.161 4.161 4.161
angles: 90.00 90.00 90.00
Space group Pm-3m (No. 221)
One atom of each set of equivalent atoms:
Tl 0.000 0.000 0.000 (multiplicity 1)
Cr 0.500 0.500 0.500 (multiplicity 1)
F 0.000 0.500 0.500 (multiplicity 3)

Properties
**Calculated total energy**: -22.641 eV per atom
**Formation energy without anion corrections**: -2.369 eV/atom

***

> Among the records above, which one has the lowest calculated total energy?

BaNaI3

***

> Among the records above, which one has the lowest calculated total energy?

BaNaI3